This record from the Alexandria database describes a PBEsol-optimized structure of GdZnGa. The functional is meta-GGA SCAN.

Structure (POSCAR):
```
GdZnGa
1.0
4.377 0.000 0.000
-2.188 3.790 0.000
0.000 0.000 7.145
Gd Zn Ga
2 2 2
Direct
0.000 0.000 0.000
0.000 0.000 0.500
0.333 0.667 0.250
0.667 0.333 0.750
0.333 0.667 0.750
0.667 0.333 0.250
```

Results
Its raw total energy is -30.1948 eV per atom. As for the formation energy: -1.9 eV per formula unit.